[1]
Compound: KTaSi
Source: Alexandria
Functional: SCAN
Structure: PBEsol geometry

## Properties
calculated total energy = -27.196 eV per atom
Fermi-level density of states = 2.50 states/eV/f.u.
M_tot = 0.00 μB/cell

a b c (Å): 4.8428 4.8428 2.9751
angles (deg): 90.00 90.00 120.00
Space group P-6m2 (No. 187)
Unique sites:
K  0.0000  0.0000  0.0000 (multiplicity 1)
Ta  0.6667  0.3333  0.5000 (multiplicity 1)
Si  0.3333  0.6667  0.5000 (multiplicity 1)

[2]
Compound: RbZn2SbMo
Source: Alexandria
Functional: SCAN
Structure: PBEsol geometry

## Properties
calculated total energy = -22.143 eV per atom
Fermi-level density of states = 2.74 states/eV/f.u.
M_tot = 3.76 μB/cell

a b c (Å): 5.430 5.430 6.313
angles (deg): 90.00 90.00 90.00
Space group P4/mmm (No. 123)
Unique sites:
Rb  0.000  0.000  0.000 (multiplicity 1)
Zn  0.000  0.500  0.000 (multiplicity 2)
Sb  0.000  0.000  0.500 (multiplicity 1)
Mo  0.500  0.500  0.500 (multiplicity 1)

[3]
Compound: TcRhSeN2
Source: Alexandria
Functional: SCAN
Structure: PBEsol geometry

## Properties
calculated total energy = -20.824 eV per atom
Fermi-level density of states = 2.58 states/eV/f.u.
M_tot = 1.20 μB/cell

a b c (Å): 3.720 3.720 5.226
angles (deg): 90.00 90.00 90.00
Space group P4/mmm (No. 123)
Unique sites:
Tc  0.000  0.000  0.000 (multiplicity 1)
Rh  0.500  0.500  0.500 (multiplicity 1)
Se  0.000  0.000  0.500 (multiplicity 1)
N  0.000  0.500  0.000 (multiplicity 2)

[4]
Compound: MnZnO2
Source: Alexandria
Functional: SCAN
Structure: PBEsol geometry

## Properties
calculated total energy = -12.812 eV per atom
Fermi-level density of states = 0.23 states/eV/f.u.
M_tot = 20.00 μB/cell

a b c (Å): 4.634 4.634 9.241
angles (deg): 90.00 90.00 90.00
Space group I-42d (No. 122)
Unique sites:
Mn  0.000  0.000  0.000 (multiplicity 4)
Zn  0.000  0.000  0.500 (multiplicity 4)
O  0.240  0.250  0.625 (multiplicity 8)

[5]
Compound: MoPPb
Source: Alexandria
Functional: SCAN
Structure: PBEsol geometry

## Properties
calculated total energy = -39.594 eV per atom
Fermi-level density of states = 2.57 states/eV/f.u.
M_tot = 6.35 μB/cell
energy above the most stable polymorph in this dataset = 656 meV per atom
DFT formation energy = 761 meV per atom

a b c (Å): 6.258 6.258 6.258
angles (deg): 90.00 90.00 90.00
Space group F-43m (No. 216)
Unique sites:
Mo  0.000  0.000  0.000 (multiplicity 4)
P  0.250  0.250  0.750 (multiplicity 4)
Pb  0.250  0.250  0.250 (multiplicity 4)

[6]
Compound: TcPPtS2
Source: Alexandria
Functional: SCAN
Structure: PBEsol geometry

## Properties
calculated total energy = -26.138 eV per atom
Fermi-level density of states = 5.14 states/eV/f.u.
M_tot = 0.00 μB/cell

a b c (Å): 4.410 4.410 4.668
angles (deg): 90.00 90.00 90.00
Space group P4/mmm (No. 123)
Unique sites:
Tc  0.000  0.000  0.000 (multiplicity 1)
P  0.000  0.000  0.500 (multiplicity 1)
Pt  0.500  0.500  0.500 (multiplicity 1)
S  0.000  0.500  0.000 (multiplicity 2)

[7]
Compound: Fe2IrW
Source: Alexandria
Functional: SCAN
Structure: PBEsol geometry

## Properties
calculated total energy = -43.981 eV per atom
Fermi-level density of states = 4.23 states/eV/f.u.
M_tot = 0.01 μB/cell
DFT formation energy = 281 meV per atom

a b c (Å): 2.624 2.624 7.243
angles (deg): 90.00 90.00 90.00
Space group P4/mmm (No. 123)
Unique sites:
Fe  0.000  0.000  0.241 (multiplicity 2)
Ir  0.500  0.500  0.000 (multiplicity 1)
W  0.500  0.500  0.500 (multiplicity 1)

[8]
Compound: OsSF3
Source: Alexandria
Functional: SCAN
Structure: PBEsol geometry

## Properties
calculated total energy = -17.600 eV per atom
Fermi-level density of states = 5.28 states/eV/f.u.
M_tot = 3.66 μB/cell

a b c (Å): 4.226 4.226 4.226
angles (deg): 90.00 90.00 90.00
Space group Pm-3m (No. 221)
Unique sites:
Os  0.000  0.000  0.000 (multiplicity 1)
S  0.500  0.500  0.500 (multiplicity 1)
F  0.000  0.500  0.500 (multiplicity 3)

[9]
Compound: Ga2Ag2Hg
Source: Alexandria
Functional: SCAN
Structure: PBEsol geometry

## Properties
calculated total energy = -32.613 eV per atom
Fermi-level density of states = 1.31 states/eV/f.u.
M_tot = 0.00 μB/cell
DFT formation energy = 105 meV per atom

a b c (Å): 7.972 7.972 2.881
angles (deg): 90.00 90.00 90.00
Space group P4/mbm (No. 127)
Unique sites:
Ga  0.174  0.326  0.000 (multiplicity 4)
Ag  0.126  0.626  0.500 (multiplicity 4)
Hg  0.000  0.000  0.500 (multiplicity 2)

[10]
Compound: Cd2MoIr
Source: Alexandria
Functional: SCAN
Structure: PBEsol geometry

## Properties
calculated total energy = -41.355 eV per atom
Fermi-level density of states = 1.96 states/eV/f.u.
M_tot = 0.00 μB/cell
energy above the most stable polymorph in this dataset = 0 meV per atom
DFT formation energy = 348 meV per atom

a b c (Å): 2.900 4.739 4.861
angles (deg): 90.00 90.00 90.00
Space group Pmmm (No. 47)
Unique sites:
Cd  0.000  0.000  0.000 (multiplicity 1)
Cd  0.500  0.500  0.000 (multiplicity 1)
Mo  0.000  0.500  0.500 (multiplicity 1)
Ir  0.500  0.000  0.500 (multiplicity 1)

[11]
Compound: BaReSe2
Source: Alexandria
Functional: SCAN
Structure: PBEsol geometry

## Properties
calculated total energy = -37.785 eV per atom
Fermi-level density of states = 1.95 states/eV/f.u.
M_tot = 4.88 μB/cell

a b c (Å): 3.7792 3.7792 27.0287
angles (deg): 90.00 90.00 120.00
Space group R-3m (No. 166, hexagonal axes)
Unique sites:
Ba  0.0000  0.0000  0.0000 (multiplicity 3)
Re  0.0000  0.0000  0.5000 (multiplicity 3)
Se  0.0000  0.0000  0.1175 (multiplicity 6)

[12]
Compound: K2LaOsS
Source: Alexandria
Functional: SCAN
Structure: PBEsol geometry

## Properties
calculated total energy = -27.043 eV per atom
Fermi-level density of states = 5.85 states/eV/f.u.
M_tot = 2.42 μB/cell

a b c (Å): 7.252 7.252 5.173
angles (deg): 90.00 90.00 90.00
Space group P4/mmm (No. 123)
Unique sites:
K  0.000  0.500  0.000 (multiplicity 2)
La  0.000  0.000  0.000 (multiplicity 1)
Os  0.500  0.500  0.500 (multiplicity 1)
S  0.000  0.000  0.500 (multiplicity 1)

[13]
Compound: Sc2AlGa2
Source: Alexandria
Functional: SCAN
Structure: PBEsol geometry

## Properties
calculated total energy = -14.473 eV per atom
Fermi-level density of states = 2.31 states/eV/f.u.
M_tot = 0.00 μB/cell
DFT formation energy = -689 meV per atom

a b c (Å): 6.658 6.658 4.107
angles (deg): 90.00 90.00 90.00
Space group P4/mbm (No. 127)
Unique sites:
Sc  0.171  0.329  0.000 (multiplicity 4)
Al  0.000  0.000  0.500 (multiplicity 2)
Ga  0.131  0.631  0.500 (multiplicity 4)

[14]
Compound: KW3O9
Source: Alexandria
Functional: SCAN
Structure: PBEsol geometry

## Properties
calculated total energy = -23.322 eV per atom
Fermi-level density of states = 1.82 states/eV/f.u.
M_tot = 0.00 μB/cell

a b c (Å): 7.411 3.820 32.300
angles (deg): 90.00 96.59 90.00
Space group P2 (No. 3)
Unique sites:
K  0.000  0.000  0.000 (multiplicity 1)
K  0.200  0.665  0.400 (multiplicity 2)
K  0.401  0.656  0.800 (multiplicity 2)
W  0.000  0.328  0.500 (multiplicity 1)
W  0.100  0.327  0.200 (multiplicity 2)
W  0.100  0.328  0.700 (multiplicity 2)
W  0.200  0.328  0.900 (multiplicity 2)
W  0.300  0.328  0.100 (multiplicity 2)
W  0.300  0.328  0.600 (multiplicity 2)
W  0.400  0.328  0.300 (multiplicity 2)
W  0.500  0.328  0.500 (multiplicity 1)
W  0.500  0.330  0.000 (multiplicity 1)
O  0.000  0.829  0.500 (multiplicity 1)
O  0.042  0.326  0.084 (multiplicity 2)
O  0.062  0.330  0.758 (multiplicity 2)
O  0.096  0.330  0.558 (multiplicity 2)
O  0.100  0.828  0.200 (multiplicity 2)
O  0.100  0.829  0.700 (multiplicity 2)
O  0.104  0.330  0.842 (multiplicity 2)
O  0.138  0.330  0.642 (multiplicity 2)
O  0.158  0.330  0.316 (multiplicity 2)
O  0.200  0.828  0.900 (multiplicity 2)
O  0.242  0.330  0.484 (multiplicity 2)
O  0.262  0.330  0.158 (multiplicity 2)
O  0.296  0.327  0.958 (multiplicity 2)
O  0.300  0.828  0.100 (multiplicity 2)
O  0.300  0.829  0.600 (multiplicity 2)
O  0.304  0.330  0.242 (multiplicity 2)
O  0.338  0.327  0.042 (multiplicity 2)
O  0.358  0.330  0.716 (multiplicity 2)
O  0.400  0.829  0.300 (multiplicity 2)
O  0.442  0.330  0.884 (multiplicity 2)
O  0.462  0.330  0.558 (multiplicity 2)
O  0.495  0.330  0.358 (multiplicity 2)
O  0.500  0.828  0.000 (multiplicity 1)
O  0.500  0.829  0.500 (multiplicity 1)

[15]
Compound: TlGaMo2Pd
Source: Alexandria
Functional: SCAN
Structure: PBEsol geometry

## Properties
calculated total energy = -36.928 eV per atom
Fermi-level density of states = 4.51 states/eV/f.u.
M_tot = 3.78 μB/cell
DFT formation energy = 1322 meV per atom

a b c (Å): 4.815 4.815 4.548
angles (deg): 90.00 90.00 90.00
Space group P4/mmm (No. 123)
Unique sites:
Tl  0.000  0.000  0.000 (multiplicity 1)
Ga  0.500  0.500  0.000 (multiplicity 1)
Mo  0.000  0.500  0.500 (multiplicity 2)
Pd  0.500  0.500  0.500 (multiplicity 1)

[16]
Compound: ZrMo2Se
Source: Alexandria
Functional: SCAN
Structure: PBEsol geometry

## Properties
calculated total energy = -30.067 eV per atom
Fermi-level density of states = 3.10 states/eV/f.u.
M_tot = 0.00 μB/cell

a b c (Å): 5.349 9.799 3.197
angles (deg): 90.00 125.07 90.00
Space group C2/m (No. 12)
Unique sites:
Zr  0.000  0.000  0.000 (multiplicity 2)
Mo  0.250  0.250  0.500 (multiplicity 4)
Se  0.000  0.500  0.000 (multiplicity 2)

[17]
Compound: BaGaB4H3O10
Source: Alexandria
Functional: SCAN
Structure: PBEsol geometry

## Properties
calculated total energy = -10.657 eV per atom
Fermi-level density of states = 0.00 states/eV/f.u.
M_tot = 0.08 μB/cell

a b c (Å): 12.375 7.152 19.303
angles (deg): 90.00 107.06 90.00
Space group C2/c (No. 15)
Unique sites:
Ba  0.207  0.174  0.103 (multiplicity 8)
Ga  0.145  0.180  0.442 (multiplicity 8)
B  0.011  0.487  0.078 (multiplicity 8)
B  0.052  0.193  0.928 (multiplicity 8)
B  0.154  0.257  0.604 (multiplicity 8)
B  0.163  0.226  0.293 (multiplicity 8)
H  0.036  0.199  0.199 (multiplicity 8)
H  0.101  0.076  0.795 (multiplicity 8)
H  0.156  0.191  0.742 (multiplicity 8)
O  0.011  0.303  0.438 (multiplicity 8)
O  0.056  0.130  0.592 (multiplicity 8)
O  0.077  0.385  0.928 (multiplicity 8)
O  0.098  0.166  0.335 (multiplicity 8)
O  0.121  0.226  0.218 (multiplicity 8)
O  0.121  0.454  0.597 (multiplicity 8)
O  0.130  0.200  0.786 (multiplicity 8)
O  0.145  0.082  0.951 (multiplicity 8)
O  0.215  0.205  0.552 (multiplicity 8)
O  0.226  0.214  0.679 (multiplicity 8)

[18]
Compound: V5Cr5Ge6
Source: Alexandria
Functional: SCAN
Structure: PBEsol geometry

## Properties
calculated total energy = -18.636 eV per atom
Fermi-level density of states = 11.82 states/eV/f.u.
M_tot = 0.25 μB/cell
DFT formation energy = -268 meV per atom

a b c (Å): 13.141 4.719 9.283
angles (deg): 90.00 134.82 90.00
Space group Cm (No. 8)
Unique sites:
V  0.000  0.000  0.000 (multiplicity 2)
V  0.002  0.500  0.536 (multiplicity 2)
V  0.349  0.000  0.853 (multiplicity 2)
V  0.426  0.249  0.194 (multiplicity 4)
Cr  0.155  0.000  0.852 (multiplicity 2)
Cr  0.155  0.500  0.998 (multiplicity 2)
Cr  0.190  0.500  0.539 (multiplicity 2)
Cr  0.193  0.000  0.388 (multiplicity 2)
Cr  0.351  0.500  0.385 (multiplicity 2)
Ge  0.093  0.000  0.531 (multiplicity 2)
Ge  0.097  0.500  0.198 (multiplicity 2)
Ge  0.256  0.000  0.194 (multiplicity 2)
Ge  0.257  0.500  0.860 (multiplicity 2)
Ge  0.422  0.251  0.690 (multiplicity 4)

[19]
Compound: KZrBe2
Source: Alexandria
Functional: SCAN
Structure: PBEsol geometry

## Properties
calculated total energy = -10.880 eV per atom
Fermi-level density of states = 1.88 states/eV/f.u.
M_tot = 0.00 μB/cell
energy above the most stable polymorph in this dataset = 617 meV per atom
DFT formation energy = 1053 meV per atom

a b c (Å): 6.722 6.722 6.722
angles (deg): 90.00 90.00 90.00
Space group Fm-3m (No. 225)
Unique sites:
K  0.000  0.000  0.000 (multiplicity 4)
Zr  0.000  0.000  0.500 (multiplicity 4)
Be  0.250  0.250  0.250 (multiplicity 8)

[20]
Compound: Al2CoCu
Source: Alexandria
Functional: SCAN
Structure: PBEsol geometry

## Properties
calculated total energy = -12.466 eV per atom
Fermi-level density of states = 1.56 states/eV/f.u.
M_tot = 0.70 μB/cell
DFT formation energy = -464 meV per atom

a b c (Å): 4.093 4.093 2.864
angles (deg): 90.00 90.00 90.00
Space group P4/mmm (No. 123)
Unique sites:
Al  0.000  0.500  0.000 (multiplicity 2)
Co  0.000  0.000  0.500 (multiplicity 1)
Cu  0.500  0.500  0.500 (multiplicity 1)